[1]
Below is an optimized crystal structure of RbAlZn2Ir, with properties calculated at the PBE-GGA level.

a = 5.0293 Å, b = 5.0293 Å, c = 4.7703 Å
α = 90.00°, β = 90.00°, γ = 90.00°
Closest atoms and distances in Å follow each position.
Fractional positions:
Rb (0.0000, 0.0000, 0.0000)  8 Zn 3.47, 4 Al 3.56
Al (0.5000, 0.5000, 0.0000)  2 Ir 2.39
Zn (0.0000, 0.5000, 0.5000)  2 Ir 2.51
Zn (0.5000, 0.0000, 0.5000)  2 Ir 2.51
Ir (0.5000, 0.5000, 0.5000)  2 Al 2.39, 4 Zn 2.51

Computed properties:
Uncorrected energy, eV per atom: -3.417
Space group: P4/mmm
E_form, meV per atom: -193


[2]
Below is an optimized crystal structure of SmDyPb2, with properties calculated at the PBE-GGA level.

a = 7.2577 Å, b = 7.2577 Å, c = 7.2577 Å
α = 38.67°, β = 38.67°, γ = 38.67°
Closest atoms and distances in Å follow each position.
Fractional positions:
Sm (0.0000, 0.0000, 0.0000)  6 Pb 3.23-3.31, 1 Dy 3.58
Dy (0.8222, 0.8222, 0.8222)  6 Pb 3.14-3.29
Pb (0.4155, 0.4155, 0.4155)  3 Dy 3.14, 3 Sm 3.23, 1 Pb 3.24
Pb (0.5767, 0.5767, 0.5767)  1 Pb 3.24, 3 Dy 3.29, 3 Sm 3.31

Computed properties:
Uncorrected energy, eV per atom: -4.527
Space group: R3m
E_form, meV per atom: -342


[3]
Below is an optimized crystal structure of Pm8Sm2Ho3, with properties calculated at the PBE-GGA level.

a = 6.2606 Å, b = 6.2665 Å, c = 11.4421 Å
α = 89.93°, β = 79.46°, γ = 80.39°
Closest atoms and distances in Å follow each position.
Fractional positions:
Pm (0.0391, 0.0793, 0.3485)  6 Pm 3.58-3.63, 5 Ho 3.58-3.62, 1 Sm 3.63
Pm (0.1927, 0.3827, 0.7277)  4 Ho 3.57-3.61, 6 Pm 3.61-3.62, 2 Sm 3.64-3.65
Pm (0.3461, 0.6922, 0.1173)  7 Pm 3.61-3.66, 1 Ho 3.61, 4 Sm 3.62-3.63
Pm (0.4227, 0.8448, 0.8051)  2 Ho 3.59-3.61, 7 Pm 3.61-3.66, 3 Sm 3.62-3.65
Pm (0.5773, 0.1552, 0.1949)  2 Ho 3.59-3.61, 7 Pm 3.61-3.66, 3 Sm 3.62-3.65
Pm (0.6539, 0.3078, 0.8827)  7 Pm 3.61-3.66, 1 Ho 3.61, 4 Sm 3.62-3.63
Pm (0.8073, 0.6173, 0.2723)  4 Ho 3.57-3.61, 6 Pm 3.61-3.62, 2 Sm 3.64-3.65
Pm (0.9609, 0.9207, 0.6515)  6 Pm 3.58-3.63, 5 Ho 3.58-3.62, 1 Sm 3.63
Sm (0.1151, 0.2308, 0.0391)  10 Pm 3.62-3.65, 2 Sm 3.62
Sm (0.8849, 0.7692, 0.9609)  10 Pm 3.62-3.65, 2 Sm 3.62
Ho (0.2703, 0.5391, 0.4246)  8 Pm 3.57-3.62, 4 Ho 3.58-3.62
Ho (0.5000, 0.0000, 0.5000)  8 Pm 3.59-3.61, 4 Ho 3.61
Ho (0.7297, 0.4609, 0.5754)  8 Pm 3.57-3.62, 4 Ho 3.58-3.62

Computed properties:
Uncorrected energy, eV per atom: -4.689
Excess energy over the best structure of this formula in the dataset, meV per atom: 0
Space group: P-1
E_form, meV per atom: 17


[4]
Below is an optimized crystal structure of K2Zr3Te6, with properties calculated at the PBE-GGA level.

a = 7.0607 Å, b = 7.0607 Å, c = 9.0085 Å
α = 97.55°, β = 97.55°, γ = 120.02°
Closest atoms and distances in Å follow each position.
Fractional positions:
K (0.1660, 0.8340, 0.0000)  6 Te 3.50
K (0.8340, 0.1660, 0.0000)  6 Te 3.50
Zr (0.0000, 0.0000, 0.5000)  6 Te 2.94-2.96
Zr (0.3314, 0.6686, 0.5000)  6 Te 2.94-2.95
Zr (0.6686, 0.3314, 0.5000)  6 Te 2.94-2.95
Te (0.0722, 0.4018, 0.7040)  3 Zr 2.94-2.95
Te (0.2692, 0.2692, 0.2978)  3 Zr 2.94-2.96
Te (0.4018, 0.0722, 0.7040)  3 Zr 2.94-2.95
Te (0.5982, 0.9278, 0.2960)  3 Zr 2.94-2.95
Te (0.7308, 0.7308, 0.7022)  3 Zr 2.94-2.96
Te (0.9278, 0.5982, 0.2960)  3 Zr 2.94-2.95

Computed properties:
Uncorrected energy, eV per atom: -5.229
Formation energy from raw total energies, eV per atom: -0.984
Space group: C2/m


[5]
Below is an optimized crystal structure of GaSbIN2, with properties calculated at the PBE-GGA level.

a = 4.2250 Å, b = 4.2250 Å, c = 5.5387 Å
α = 90.00°, β = 90.00°, γ = 90.00°
Closest atoms and distances in Å follow each position.
Fractional positions:
Ga (0.0000, 0.0000, 0.0000)  4 N 2.11
Sb (0.5000, 0.5000, 0.5000)  4 I 2.99
I (0.0000, 0.0000, 0.5000)  2 Ga 2.77, 4 Sb 2.99
N (0.0000, 0.5000, 0.0000)  2 Ga 2.11
N (0.5000, 0.0000, 0.0000)  2 Ga 2.11

Computed properties:
Uncorrected energy, eV per atom: -3.610
Excess energy over the best structure of this formula in the dataset, meV per atom: 339
Formation energy from raw total energies, eV per atom: 1.460
Space group: P4/mmm


[6]
Below is an optimized crystal structure of TcMo2Os, with properties calculated at the PBE-GGA level.

a = 9.2842 Å, b = 9.2842 Å, c = 9.2842 Å
α = 17.14°, β = 17.14°, γ = 17.14°
Closest atoms and distances in Å follow each position.
Fractional positions:
Tc (0.0000, 0.0000, 0.0000)  6 Tc 2.77, 6 Mo 2.79
Mo (0.2499, 0.2499, 0.2499)  6 Mo 2.77, 3 Os 2.79, 3 Tc 2.79
Mo (0.7501, 0.7501, 0.7501)  6 Mo 2.77, 3 Os 2.79, 3 Tc 2.79
Os (0.5000, 0.5000, 0.5000)  6 Os 2.77, 6 Mo 2.79

Computed properties:
Uncorrected energy, eV per atom: -10.646
Excess energy over the best structure of this formula in the dataset, meV per atom: 63
Space group: R-3m
E_form, meV per atom: 168


[7]
Below is an optimized crystal structure of PrErTe2Cl, with properties calculated at the PBE-GGA level.

a = 4.3496 Å, b = 4.3496 Å, c = 15.0661 Å
α = 90.00°, β = 90.00°, γ = 90.00°
Closest atoms and distances in Å follow each position.
Fractional positions:
Pr (0.2500, 0.2500, 0.1352)  4 Cl 2.98, 4 Te 3.27
Pr (0.7500, 0.7500, 0.8648)  4 Cl 2.98, 4 Te 3.27
Er (0.2500, 0.2500, 0.5832)  6 Te 3.07-3.13
Er (0.7500, 0.7500, 0.4168)  6 Te 3.07-3.13
Te (0.2500, 0.2500, 0.3797)  5 Er 3.07-3.13
Te (0.2500, 0.2500, 0.7911)  1 Er 3.13, 4 Pr 3.27
Te (0.7500, 0.7500, 0.2089)  1 Er 3.13, 4 Pr 3.27
Te (0.7500, 0.7500, 0.6203)  5 Er 3.07-3.13
Cl (0.2500, 0.7500, 0.0000)  4 Pr 2.98, 4 Cl 3.08
Cl (0.7500, 0.2500, 0.0000)  4 Pr 2.98, 4 Cl 3.08

Computed properties:
Uncorrected energy, eV per atom: -5.081
Formation energy from raw total energies, eV per atom: -1.586
Space group: P4/nmm


[8]
Below is an optimized crystal structure of LaCdPt3, with properties calculated at the PBE-GGA level.

a = 4.9752 Å, b = 4.9752 Å, c = 4.9752 Å
α = 90.00°, β = 90.00°, γ = 90.00°
Closest atoms and distances in Å follow each position.
Fractional positions:
La (0.0000, 0.0000, 0.0000)  12 Pt 3.52
Cd (0.5000, 0.5000, 0.5000)  6 Pt 2.49
Pt (0.0000, 0.5000, 0.5000)  2 Cd 2.49
Pt (0.5000, 0.0000, 0.5000)  2 Cd 2.49
Pt (0.5000, 0.5000, 0.0000)  2 Cd 2.49

Computed properties:
Uncorrected energy, eV per atom: -4.696
Excess energy over the best structure of this formula in the dataset, meV per atom: 0
Space group: Pm-3m
E_form, meV per atom: 97


[9]
Below is an optimized crystal structure of CsK2Rb6Ag, with properties calculated at the PBE-GGA level.

a = 9.1479 Å, b = 9.1594 Å, c = 9.3512 Å
α = 91.21°, β = 90.30°, γ = 90.43°
Closest atoms and distances in Å follow each position.
Fractional positions:
Cs (0.0000, 0.0000, 0.0000)  2 K 4.66-4.67, 6 Rb 4.83-4.86
K (0.2899, 0.7097, 0.2877)  1 Ag 3.39
K (0.7160, 0.2964, 0.7106)  1 Ag 3.39
Rb (0.1357, 0.2643, 0.4358)  1 Ag 4.02, 2 Rb 4.41-4.42
Rb (0.2655, 0.4363, 0.8631)  1 Ag 4.09, 2 Rb 4.42-4.43, 1 K 4.55
Rb (0.4372, 0.8675, 0.7351)  1 Ag 4.02, 2 Rb 4.42-4.43
Rb (0.5660, 0.1353, 0.2667)  1 Ag 4.02, 2 Rb 4.41
Rb (0.7385, 0.5636, 0.1371)  1 Ag 4.08, 2 Rb 4.41, 1 K 4.55
Rb (0.8683, 0.7432, 0.5608)  1 Ag 4.03, 2 Rb 4.41-4.42
Ag (0.5018, 0.5023, 0.4996)  2 K 3.39

Computed properties:
Uncorrected energy, eV per atom: -1.125
Space group: P1
E_form, meV per atom: 45


[10]
Below is an optimized crystal structure of Mn3CrCo3, with properties calculated at the PBE-GGA level.

a = 5.6948 Å, b = 5.6948 Å, c = 5.4051 Å
α = 90.00°, β = 90.00°, γ = 92.15°
Closest atoms and distances in Å follow each position.
Fractional positions:
Mn (0.2286, 0.7714, 0.0000)  6 Co 2.39-2.56, 2 Cr 2.46
Mn (0.2339, 0.2339, 0.5000)  6 Co 2.47-2.55, 2 Cr 2.72
Mn (0.2556, 0.7444, 0.5000)  6 Co 2.40-2.47
Mn (0.7444, 0.2556, 0.5000)  6 Co 2.40-2.47
Mn (0.7661, 0.7661, 0.5000)  6 Co 2.47-2.55, 2 Cr 2.72
Mn (0.7714, 0.2286, 0.0000)  6 Co 2.39-2.56, 2 Cr 2.46
Cr (0.2010, 0.2010, 0.0000)  4 Mn 2.46-2.72, 6 Co 2.48-2.68
Cr (0.7990, 0.7990, 0.0000)  4 Mn 2.46-2.72, 6 Co 2.48-2.68
Co (0.0000, 0.5000, 0.2464)  6 Mn 2.39-2.47, 2 Cr 2.48, 1 Co 2.66
Co (0.0000, 0.5000, 0.7536)  6 Mn 2.39-2.47, 2 Cr 2.48, 1 Co 2.66
Co (0.5000, 0.0000, 0.2464)  6 Mn 2.39-2.47, 2 Cr 2.48, 1 Co 2.66
Co (0.5000, 0.0000, 0.7536)  6 Mn 2.39-2.47, 2 Cr 2.48, 1 Co 2.66
Co (0.5000, 0.5000, 0.2327)  6 Mn 2.47-2.56, 1 Co 2.52, 2 Cr 2.68
Co (0.5000, 0.5000, 0.7673)  6 Mn 2.47-2.56, 1 Co 2.52, 2 Cr 2.68

Computed properties:
Uncorrected energy, eV per atom: -8.119
Space group: Cmmm
E_form, meV per atom: 231